DFT (PBE) results for Ba2ZnCr after structural relaxation. Values from VASP.

Structure (Quantum ESPRESSO input):
```
&SYSTEM
  ibrav = 0, nat = 4, ntyp = 3
/
ATOMIC_SPECIES
Zn 65.41 Zn.upf
Ba 137.33 Ba.upf
Cr 52.00 Cr.upf
CELL_PARAMETERS angstrom
-3.704 0.753 -2.765
0.325 -4.840 -1.753
-3.607 -4.314 3.656
ATOMIC_POSITIONS crystal
Zn 0.500 0.570 0.735
Ba 0.500 0.271 0.332
Ba 0.000 0.983 0.910
Cr 0.000 0.676 0.523
```

## Properties
DFT formation energy (eV/atom): 0.273
Electronic total energy (eV/atom): -3.4129

---

DFT (PBE) results for LaMo2Au after structural relaxation. Values from VASP.

Structure (Quantum ESPRESSO input):
```
&SYSTEM
  ibrav = 0, nat = 4, ntyp = 3
/
ATOMIC_SPECIES
Au 196.97 Au.upf
La 138.91 La.upf
Mo 95.94 Mo.upf
CELL_PARAMETERS angstrom
3.612 0.000 0.000
0.000 3.612 0.000
0.000 0.000 6.726
ATOMIC_POSITIONS crystal
Au 0.500 0.500 0.250
La 0.500 0.500 0.750
Mo 0.000 0.000 0.080
Mo 0.000 0.000 0.420
```

## Properties
DFT formation energy (eV/atom): 0.468
Energy relative to the lowest polymorph listed for this composition (meV/atom): 378
Electronic total energy (eV/atom): -6.9988

---

DFT (PBE) results for Ir2PtAu after structural relaxation. Values from VASP.

Structure (Quantum ESPRESSO input):
```
&SYSTEM
  ibrav = 0, nat = 4, ntyp = 3
/
ATOMIC_SPECIES
Au 196.97 Au.upf
Ir 192.22 Ir.upf
Pt 195.08 Pt.upf
CELL_PARAMETERS angstrom
5.596 0.002 -0.002
2.877 4.800 0.002
-3.548 -3.616 2.378
ATOMIC_POSITIONS crystal
Au 0.245 0.745 0.500
Ir 0.985 0.985 0.000
Ir 0.758 0.258 0.500
Pt 0.512 0.512 0.000
```

## Properties
DFT formation energy (eV/atom): 0.302
Energy relative to the lowest polymorph listed for this composition (meV/atom): 192
Electronic total energy (eV/atom): -6.4584

---

DFT (PBE) results for Li2TbCd after structural relaxation. Values from VASP.

Structure (Quantum ESPRESSO input):
```
&SYSTEM
  ibrav = 0, nat = 4, ntyp = 3
/
ATOMIC_SPECIES
Li 6.94 Li.upf
Cd 112.41 Cd.upf
Tb 158.93 Tb.upf
CELL_PARAMETERS angstrom
-0.851 -1.159 -3.219
-0.030 -3.314 1.201
-6.856 0.637 1.583
ATOMIC_POSITIONS crystal
Li 0.000 0.000 0.201
Li 0.000 0.000 0.799
Cd 0.500 0.500 0.000
Tb 0.500 0.500 0.500
```

## Properties
DFT formation energy (eV/atom): -0.045
Energy relative to the lowest polymorph listed for this composition (meV/atom): 33
Electronic total energy (eV/atom): -2.3882

---

DFT (PBE) results for KTbP2S8 after structural relaxation. Values from VASP.

Structure (Quantum ESPRESSO input):
```
&SYSTEM
  ibrav = 0, nat = 12, ntyp = 4
/
ATOMIC_SPECIES
S 32.06 S.upf
K 39.10 K.upf
P 30.97 P.upf
Tb 158.93 Tb.upf
CELL_PARAMETERS angstrom
-0.182 -0.836 6.094
5.186 -1.142 -3.109
2.752 8.933 1.308
ATOMIC_POSITIONS crystal
S 0.000 0.639 0.323
S 0.361 0.000 0.677
S 0.667 0.333 0.048
S 0.639 0.639 0.677
S 0.639 0.000 0.323
S 0.361 0.361 0.323
S 0.333 0.667 0.952
S 0.000 0.361 0.677
K 0.000 0.000 0.000
P 0.333 0.667 0.736
P 0.667 0.333 0.264
Tb 0.000 0.000 0.500
```

## Properties
Electronic total energy (eV/atom): -4.7136
ΔE_f (raw) (eV/atom): -0.583

---

DFT (PBE) results for BaPd2F8 after structural relaxation. Values from VASP.

Structure (Quantum ESPRESSO input):
```
&SYSTEM
  ibrav = 0, nat = 11, ntyp = 3
/
ATOMIC_SPECIES
F 19.00 F.upf
Ba 137.33 Ba.upf
Pd 106.42 Pd.upf
CELL_PARAMETERS angstrom
5.240 0.000 0.000
0.000 5.240 0.000
0.000 0.000 6.360
ATOMIC_POSITIONS crystal
F 0.751 0.249 0.802
F 0.249 0.249 0.198
F 0.249 0.751 0.802
F 0.751 0.249 0.198
F 0.249 0.249 0.802
F 0.249 0.751 0.198
F 0.751 0.751 0.198
F 0.751 0.751 0.802
Ba 0.500 0.500 0.500
Pd 0.500 0.000 0.000
Pd 0.000 0.500 0.000
```

## Properties
Energy relative to the lowest polymorph listed for this composition (meV/atom): 226
Electronic total energy (eV/atom): -4.1958
ΔE_f (raw) (eV/atom): -1.716

---

Result set for Fermi-level density of states: 4.0 4.3 3.8 3.0 9.5 3.0 states/eV/f.u., one per record in the order listed.